A relaxed structure of Li2TiRe. Source: the Alexandria database, functional GGA-PBE.

Cell and atoms, written as POSCAR:
```
Li2TiRe
1.0
3.5517 0.0000 0.0000
0.0000 3.5517 0.0000
1.7759 1.7759 10.2121
Ti Li Re
2 4 2
direct
0.5000 0.5000 0.0000
0.2500 0.7500 0.5000
0.6442 0.1250 0.2500
0.8750 0.8942 0.7500
0.1058 0.6250 0.2500
0.3750 0.3558 0.7500
0.7500 0.2500 0.5000
0.0000 0.0000 0.0000
```

Results
Uncorrected energy (Ry/atom): -0.4114
Energy relative to the lowest polymorph listed for this composition (meV/atom): 0
Space-group type: I-42d (122)
Formation energy (eV per atom): 0.44